{"formula": "Tm12H5Ru3", "functional": "PBE", "state": "optimized geometry", "lattice_angstrom": [[12.839, 0.000, 0.000], [-4.280, 12.105, 0.000], [-4.280, -6.052, 10.483]], "species": ["Tm", "Tm", "H", "Tm", "Tm", "Tm", "H", "Ru", "Ru", "Tm", "Tm", "Ru", "H", "Ru", "Tm", "Tm", "H", "Tm", "Ru", "H", "Ru", "Tm", "Tm", "Tm", "Tm", "H", "Tm", "Tm", "Tm", "Tm", "Tm", "H", "H", "Tm", "Tm", "Tm", "Tm", "Tm", "Tm", "Tm", "Tm", "Tm", "Ru", "H", "Tm", "Tm", "Tm", "H", "Tm", "H", "Tm", "H", "Ru", "H", "H", "H", "H", "H", "Tm", "Tm", "H", "Tm", "Tm", "Tm", "Tm", "Tm", "Tm", "Tm", "Tm", "Tm", "Ru", "H", "H", "Ru", "Tm", "Ru", "Tm", "Ru", "Tm", "Tm"], "frac_coords": [[0.905, 0.811, 0.528], [0.094, 0.905, 0.377], [0.125, 0.750, 0.375], [0.095, 0.906, 0.123], [0.406, 0.123, 0.595], [0.283, 0.877, 0.972], [0.625, 0.875, 0.250], [0.250, 0.625, 0.875], [0.750, 0.875, 0.625], [0.689, 0.217, 0.594], [0.472, 0.783, 0.877], [0.125, 0.875, 0.750], [0.250, 0.875, 0.125], [0.125, 0.250, 0.875], [0.189, 0.095, 0.972], [0.689, 0.472, 0.595], [0.000, 0.000, 0.000], [0.311, 0.783, 0.406], [0.625, 0.250, 0.375], [0.375, 0.125, 0.750], [0.875, 0.750, 0.125], [0.406, 0.283, 0.311], [0.877, 0.594, 0.905], [0.783, 0.472, 0.377], [0.094, 0.189, 0.217], [0.000, 0.000, 0.500], [0.528, 0.311, 0.905], [0.594, 0.877, 0.405], [0.595, 0.972, 0.689], [0.472, 0.689, 0.095], [0.028, 0.405, 0.811], [0.000, 0.500, 0.500], [0.250, 0.375, 0.625], [0.123, 0.406, 0.095], [0.623, 0.028, 0.217], [0.283, 0.406, 0.811], [0.877, 0.283, 0.472], [0.528, 0.217, 0.123], [0.972, 0.377, 0.283], [0.095, 0.189, 0.472], [0.623, 0.595, 0.906], [0.123, 0.717, 0.528], [0.375, 0.750, 0.625], [0.500, 0.500, 0.500], [0.717, 0.594, 0.189], [0.405, 0.028, 0.311], [0.189, 0.094, 0.717], [0.500, 0.000, 0.000], [0.595, 0.623, 0.406], [0.875, 0.250, 0.625], [0.972, 0.595, 0.189], [0.625, 0.750, 0.875], [0.375, 0.625, 0.250], [0.500, 0.500, 0.000], [0.875, 0.625, 0.750], [0.750, 0.125, 0.875], [0.000, 0.500, 0.000], [0.500, 0.000, 0.500], [0.217, 0.528, 0.623], [0.905, 0.094, 0.877], [0.375, 0.250, 0.125], [0.783, 0.311, 0.906], [0.405, 0.377, 0.594], [0.906, 0.095, 0.623], [0.811, 0.906, 0.283], [0.377, 0.405, 0.094], [0.311, 0.528, 0.405], [0.811, 0.905, 0.028], [0.906, 0.811, 0.783], [0.717, 0.123, 0.028], [0.625, 0.375, 0.750], [0.750, 0.625, 0.375], [0.125, 0.375, 0.250], [0.750, 0.375, 0.125], [0.594, 0.717, 0.689], [0.875, 0.125, 0.250], [0.028, 0.623, 0.717], [0.250, 0.125, 0.375], [0.217, 0.689, 0.094], [0.377, 0.972, 0.783]], "m_tot_mub_per_cell": 0.0, "dft_energy_ev_per_atom": -5.261, "vol_a3_per_cell": 1629.11}


{"formula": "NaAcSb", "functional": "PBE", "state": "optimized geometry", "lattice_angstrom": [[4.501, 0.000, 0.000], [0.000, 5.003, 0.000], [0.000, -2.502, 4.333]], "species": ["Ac", "Sb", "Na"], "frac_coords": [[0.333, 0.333, 0.667], [0.833, 0.000, 0.000], [0.833, 0.667, 0.333]], "raw_formation_energy_ev_per_atom": -0.570, "relative_energy_mev_per_atom": 0.0, "m_tot_mub_per_cell": 0.9, "dft_energy_ev_per_atom": -3.754, "vol_a3_per_cell": 97.58}


Repeat the second record exactly.
{"formula": "NaAcSb", "functional": "PBE", "state": "optimized geometry", "lattice_angstrom": [[4.501, 0.000, 0.000], [0.000, 5.003, 0.000], [0.000, -2.502, 4.333]], "species": ["Ac", "Sb", "Na"], "frac_coords": [[0.333, 0.333, 0.667], [0.833, 0.000, 0.000], [0.833, 0.667, 0.333]], "raw_formation_energy_ev_per_atom": -0.570, "relative_energy_mev_per_atom": 0.0, "m_tot_mub_per_cell": 0.9, "dft_energy_ev_per_atom": -3.754, "vol_a3_per_cell": 97.58}